Entry 1:
DFT (GGA-PBE) results for a relaxed AgRh2Se crystal.

```
AgRh2Se
1.0
-0.768 2.645 -1.291
-3.049 0.734 3.317
3.196 2.131 2.466
Ag Rh Se
1 2 1
direct
0.500 0.000 0.500
0.000 0.000 0.000
0.000 0.500 0.500
0.500 0.500 0.000
```

* uncorrected energy: -5.03 eV per atom
* raw formation energy: 0.23 eV/atom
* symmetry: P4/mmm

***

Entry 2:
DFT (GGA-PBE) results for a relaxed Ac2Nd2Au3 crystal.

```
Ac2Nd2Au3
1.0
7.753 0.000 -2.741
-3.877 6.714 -2.741
0.000 0.000 8.223
Ac Nd Au
4 4 6
direct
0.500 0.370 0.500
0.000 0.000 0.370
0.630 0.130 0.130
0.870 0.500 0.000
0.000 0.000 0.868
0.500 0.868 0.500
0.132 0.632 0.632
0.368 0.500 0.000
0.750 0.633 0.383
0.250 0.867 0.117
0.617 0.750 0.867
0.883 0.250 0.633
0.367 0.117 0.750
0.133 0.383 0.250
```

* uncorrected energy: -4.54 eV per atom
* symmetry: I2_13
* calculated formation energy: -604 meV/atom

***

Entry 3:
DFT (GGA-PBE) results for a relaxed BaTaIr2 crystal.

```
BaTaIr2
1.0
3.185 0.000 0.000
0.000 3.251 0.016
0.000 3.236 8.115
Ir Ba Ta
2 1 1
direct
0.000 0.933 0.068
0.000 0.567 0.432
0.500 0.750 0.750
0.500 0.250 0.250
```

* uncorrected energy: -8.09 eV per atom
* symmetry: P2/m
* calculated formation energy: -216 meV/atom

***

Entry 4:
DFT (GGA-PBE) results for a relaxed Dy3HoS crystal.

```
Dy3HoS
1.0
5.290 0.000 0.000
0.000 5.290 0.000
0.000 0.000 5.290
S Ho Dy
1 1 3
direct
0.000 0.000 0.000
0.500 0.500 0.500
0.000 0.500 0.000
0.000 0.000 0.500
0.500 0.000 0.000
```

* uncorrected energy: -5.15 eV per atom
* raw formation energy: -0.65 eV/atom
* symmetry: Pm-3m

***

> The highest uncorrected energy belongs to which entry?

Ac2Nd2Au3

***

> The lowest uncorrected energy belongs to which entry?

BaTaIr2